Record 1
Here is crystalline Tl5TeS6 at its relaxed geometry from Alexandria. Energies are from GGA-PBE.

a = 10.127 Å, b = 10.127 Å, c = 4.771 Å
α = 96.01°, β = 96.01°, γ = 129.99°
Sites, in units of the cell vectors:
1 Tl 0.000 0.000 0.000
2 Tl 0.171 0.829 0.500
3 Tl 0.388 0.612 0.000
4 Tl 0.612 0.388 0.000
5 Tl 0.829 0.171 0.500
6 Te 0.500 0.500 0.500
7 S 0.060 0.469 0.128
8 S 0.200 0.200 0.574
9 S 0.469 0.060 0.128
10 S 0.531 0.940 0.872
11 S 0.800 0.800 0.426
12 S 0.940 0.531 0.872

Computed properties:
* relative energy among the computed polymorphs: 58 meV per atom
* formation energy without anion corrections: -2.32 kcal/mol of atoms

Record 2
Here is crystalline BaPb2SeO2 at its relaxed geometry from Alexandria. Energies are from GGA-PBE.

a = 7.395 Å, b = 6.186 Å, c = 7.465 Å
α = 90.00°, β = 110.47°, γ = 90.00°
Sites, in units of the cell vectors:
1 Ba 0.182 0.250 0.457
2 Ba 0.818 0.750 0.543
3 Pb 0.087 0.250 0.922
4 Pb 0.358 0.750 0.870
5 Pb 0.642 0.250 0.130
6 Pb 0.913 0.750 0.078
7 Se 0.326 0.750 0.253
8 Se 0.674 0.250 0.747
9 O 0.133 0.503 0.729
10 O 0.133 0.997 0.729
11 O 0.867 0.003 0.271
12 O 0.867 0.497 0.271

Computed properties:
* formation energy without anion corrections: -33.77 kcal/mol of atoms

Record 3
Here is crystalline ErHfTc4 at its relaxed geometry from Alexandria. Energies are from GGA-PBE.

a = 5.312 Å, b = 5.312 Å, c = 5.312 Å
α = 60.00°, β = 60.00°, γ = 60.00°
Sites, in units of the cell vectors:
1 Er 0.000 0.000 0.000
2 Hf 0.250 0.250 0.250
3 Tc 0.126 0.625 0.625
4 Tc 0.625 0.126 0.625
5 Tc 0.625 0.625 0.126
6 Tc 0.625 0.625 0.625

Computed properties:
* ΔE_f: -0.232 eV/atom

Record 4
Here is crystalline MnAsOs2 at its relaxed geometry from Alexandria. Energies are from GGA-PBE.

a = 6.580 Å, b = 6.580 Å, c = 6.580 Å
α = 131.66°, β = 131.66°, γ = 70.77°
Sites, in units of the cell vectors:
1 Mn 0.000 0.000 0.000
2 Mn 0.750 0.250 0.500
3 As 0.250 0.750 0.500
4 As 0.500 0.500 0.000
5 Os 0.101 0.625 0.976
6 Os 0.375 0.351 0.476
7 Os 0.649 0.125 0.024
8 Os 0.875 0.899 0.524

Computed properties:
* ΔE_f: 0.866 eV/atom

Record 5
Here is crystalline Mg4C at its relaxed geometry from Alexandria. Energies are from GGA-PBE.

a = 8.334 Å, b = 8.334 Å, c = 8.334 Å
α = 155.26°, β = 155.26°, γ = 35.28°
Sites, in units of the cell vectors:
1 Mg 0.083 0.083 0.000
2 Mg 0.250 0.750 0.500
3 Mg 0.750 0.250 0.500
4 Mg 0.917 0.917 0.000
5 C 0.500 0.500 0.000

Computed properties:
* relative energy among the computed polymorphs: 888 meV per atom
* ΔE_f: 1.154 eV/atom

Record 6
Here is crystalline Pr4Tm5Sc2 at its relaxed geometry from Alexandria. Energies are from GGA-PBE.

a = 9.600 Å, b = 9.600 Å, c = 6.983 Å
α = 95.76°, β = 95.76°, γ = 32.61°
Sites, in units of the cell vectors:
1 Pr 0.060 0.060 0.205
2 Pr 0.317 0.317 0.620
3 Pr 0.683 0.683 0.380
4 Pr 0.940 0.940 0.795
5 Tm 0.129 0.129 0.699
6 Tm 0.249 0.249 0.130
7 Tm 0.500 0.500 0.500
8 Tm 0.751 0.751 0.870
9 Tm 0.871 0.871 0.301
10 Sc 0.423 0.423 0.065
11 Sc 0.577 0.577 0.935

Computed properties:
* relative energy among the computed polymorphs: 0 meV per atom
* ΔE_f: 0.074 eV/atom

Record 7
Here is crystalline TcSe at its relaxed geometry from Alexandria. Energies are from GGA-PBE.

a = 9.294 Å, b = 9.294 Å, c = 3.136 Å
α = 90.00°, β = 90.00°, γ = 120.00°
Sites, in units of the cell vectors:
1 Tc 0.139 0.626 0.250
2 Tc 0.374 0.513 0.250
3 Tc 0.487 0.861 0.250
4 Tc 0.513 0.139 0.750
5 Tc 0.626 0.487 0.750
6 Tc 0.861 0.374 0.750
7 Se 0.042 0.330 0.250
8 Se 0.288 0.958 0.250
9 Se 0.330 0.288 0.750
10 Se 0.670 0.712 0.250
11 Se 0.712 0.042 0.750
12 Se 0.958 0.670 0.750

Computed properties:
* relative energy among the computed polymorphs: 168 meV per atom
* formation energy without anion corrections: -0.88 kcal/mol of atoms

Record 8
Here is crystalline Pm2Hg2Pd4Au at its relaxed geometry from Alexandria. Energies are from GGA-PBE.

a = 6.702 Å, b = 6.702 Å, c = 6.702 Å
α = 121.28°, β = 121.28°, γ = 87.80°
Sites, in units of the cell vectors:
1 Pm 0.210 0.210 0.000
2 Pm 0.790 0.790 0.000
3 Hg 0.250 0.750 0.500
4 Hg 0.750 0.250 0.500
5 Pd 0.215 0.215 0.430
6 Pd 0.215 0.785 0.000
7 Pd 0.785 0.215 0.000
8 Pd 0.785 0.785 0.570
9 Au 0.500 0.500 0.000

Computed properties:
* ΔE_f: -0.258 eV/atom

Record 9
Here is crystalline LaNiHg at its relaxed geometry from Alexandria. Energies are from GGA-PBE.

a = 4.723 Å, b = 4.723 Å, c = 4.723 Å
α = 60.00°, β = 60.00°, γ = 60.00°
Sites, in units of the cell vectors:
1 La 0.000 0.000 0.000
2 Ni 0.750 0.750 0.750
3 Hg 0.500 0.500 0.500

Computed properties:
* ΔE_f: -0.302 eV/atom

Record 10
Here is crystalline Y2Ho3Tl3 at its relaxed geometry from Alexandria. Energies are from GGA-PBE.

a = 4.966 Å, b = 4.973 Å, c = 9.067 Å
α = 90.00°, β = 90.00°, γ = 90.00°
Sites, in units of the cell vectors:
1 Y 0.000 0.000 0.237
2 Y 0.000 0.000 0.763
3 Ho 0.000 0.500 0.500
4 Ho 0.500 0.500 0.237
5 Ho 0.500 0.500 0.763
6 Tl 0.000 0.500 0.000
7 Tl 0.500 0.000 0.000
8 Tl 0.500 0.000 0.500

Computed properties:
* ΔE_f: -0.242 eV/atom

Record 11
Here is crystalline TaIrF2 at its relaxed geometry from Alexandria. Energies are from GGA-PBE.

a = 10.616 Å, b = 10.616 Å, c = 10.616 Å
α = 14.74°, β = 14.74°, γ = 14.74°
Sites, in units of the cell vectors:
1 Ta 0.000 0.000 0.000
2 Ir 0.500 0.500 0.500
3 F 0.382 0.382 0.382
4 F 0.618 0.618 0.618

Computed properties:
* relative energy among the computed polymorphs: 0 meV per atom
* formation energy without anion corrections: -22.97 kcal/mol of atoms

Record 12
Here is crystalline LuCuS2 at its relaxed geometry from Alexandria. Energies are from GGA-PBE.

a = 13.169 Å, b = 3.896 Å, c = 6.206 Å
α = 90.00°, β = 90.00°, γ = 90.00°
Sites, in units of the cell vectors:
1 Lu 0.134 0.250 0.003
2 Lu 0.366 0.750 0.503
3 Lu 0.634 0.250 0.497
4 Lu 0.866 0.750 0.997
5 Cu 0.046 0.750 0.379
6 Cu 0.454 0.250 0.879
7 Cu 0.546 0.750 0.121
8 Cu 0.954 0.250 0.621
9 S 0.041 0.750 0.760
10 S 0.207 0.750 0.237
11 S 0.293 0.250 0.737
12 S 0.459 0.250 0.260
13 S 0.541 0.750 0.740
14 S 0.707 0.750 0.263
15 S 0.793 0.250 0.763
16 S 0.959 0.250 0.240

Computed properties:
* formation energy without anion corrections: -31.58 kcal/mol of atoms

no.,E (Ry per atom)
1,-0.2508
2,-0.3862
3,-0.7028
4,-0.6030
5,-0.1445
6,-0.3563
7,-0.5118
8,-0.2979
9,-0.2920
10,-0.3279
11,-0.5226
12,-0.4107